[1]
Below is a relaxed structure of Zn2IrPt2, with properties calculated at the GGA-PBE level.

Structure (POSCAR):
```
Zn2IrPt2
1.0
7.270 0.000 0.000
0.000 7.270 0.000
0.000 0.000 2.818
Zn Ir Pt
4 2 4
direct
0.126 0.374 0.000
0.374 0.874 0.000
0.626 0.126 0.000
0.874 0.626 0.000
0.000 0.000 0.000
0.500 0.500 0.000
0.173 0.673 0.500
0.327 0.173 0.500
0.673 0.827 0.500
0.827 0.327 0.500
```

Output
Its space-group type is P4/mbm (127). The energy above the lowest structure with this stoichiometry comes out at 0 meV per atom. The calculation puts the magnetization at 0.0 μB/cell. As for the energy relative to the elements: -0.65 eV/f.u. The density comes out at 15.90 g/cm³. The total energy comes out at -0.355 Ry per atom.

[2]
Below is a relaxed structure of AgH4N, with properties calculated at the GGA-PBE level.

Structure (POSCAR):
```
AgH4N
1.0
6.037 0.000 0.000
0.000 2.768 0.000
-2.634 0.000 6.731
Ag H N
2 8 2
direct
0.000 0.014 0.250
0.000 0.986 0.750
0.258 0.488 0.882
0.258 0.512 0.382
0.471 0.208 0.573
0.471 0.792 0.073
0.529 0.208 0.927
0.529 0.792 0.427
0.742 0.488 0.618
0.742 0.512 0.118
0.500 0.500 0.000
0.500 0.500 0.500
```

Output
Its space-group type is P2/c (13). The calculation puts the magnetization at 0.0 μB/cell. The density comes out at 3.72 g/cm³. The total energy comes out at -0.267 Ry per atom.

[3]
Below is a relaxed structure of HfRhAu2, with properties calculated at the GGA-PBE level.

Structure (POSCAR):
```
HfRhAu2
1.0
4.191 0.000 0.000
0.000 4.205 0.000
0.000 0.000 7.923
Hf Rh Au
2 2 4
direct
0.250 0.250 0.221
0.750 0.750 0.779
0.250 0.750 0.000
0.750 0.250 0.000
0.250 0.250 0.757
0.250 0.750 0.499
0.750 0.250 0.501
0.750 0.750 0.243
```

Output
Its space-group type is Pmmn (59). The calculation puts the magnetization at 0.0 μB/cell. As for the energy relative to the elements: -2.42 eV/f.u. The density comes out at 16.06 g/cm³. The total energy comes out at -0.483 Ry per atom.

[4]
Below is a relaxed structure of MnCrNi, with properties calculated at the GGA-PBE level.

Structure (POSCAR):
```
MnCrNi
1.0
0.000 2.781 2.781
2.781 0.000 2.781
2.781 2.781 0.000
Mn Cr Ni
1 1 1
direct
0.000 0.000 0.000
0.250 0.250 0.250
0.750 0.750 0.750
```

Output
Its space-group type is F-43m (216). The energy above the lowest structure with this stoichiometry comes out at 421 meV per atom. The calculation puts the magnetization at 0.1 μB/cell. As for the energy relative to the elements: 1.48 eV/f.u. The density comes out at 6.40 g/cm³. The total energy comes out at -0.566 Ry per atom.